1.
PtCl2 | the Alexandria database | PBEsol | relaxed; energy = -0.290 Ry/atom
1.0
-1.554 1.741 2.481
3.403 -0.994 5.169
4.430 5.848 1.009
Pt Cl
2 4
Cartesian
3.705 5.324 5.600
2.573 1.271 3.059
3.698 5.250 3.309
5.313 3.701 5.408
0.966 2.894 3.250
2.581 1.346 5.349



2.
Pt3Cl | the Alexandria database | PBEsol | relaxed; energy above the most stable polymorph in this dataset = 63 meV per atom; energy = -0.378 Ry/atom
1.0
-0.854 2.125 -1.624
-4.019 -3.171 -0.418
0.574 2.426 4.491
Pt Cl
3 1
Cartesian
-0.140 2.275 1.434
-2.436 -0.523 -1.021
-1.723 -0.373 2.036
0.000 0.000 0.000



3.
Pt4Cl | the Alexandria database | PBEsol | relaxed; energy = -0.412 Ry/atom
1.0
-0.200 -1.039 2.533
5.124 0.263 2.000
-1.100 4.353 3.187
Pt Cl
4 1
Cartesian
0.260 1.976 3.807
1.965 2.796 5.765
3.563 1.601 3.913
1.859 0.781 1.955
0.000 0.000 0.000



4.
Pt2Cl | the Alexandria database | PBEsol | relaxed; energy above the most stable polymorph in this dataset = 159 meV per atom; energy = -0.331 Ry/atom
1.0
4.207 0.000 0.000
-2.104 3.644 0.000
0.000 0.000 6.205
Cl Pt
2 4
Cartesian
0.000 2.429 4.654
2.104 1.215 1.551
0.000 0.000 0.000
0.000 0.000 3.102
2.104 1.215 4.654
0.000 2.429 1.551



5.
PtCl2 | the Alexandria database | PBEsol | relaxed; energy = -0.290 Ry/atom
1.0
3.400 0.000 0.000
1.700 3.559 0.000
1.700 0.000 6.222
Pt Cl
1 2
Cartesian
1.700 0.000 0.000
1.700 0.000 4.685
3.400 0.000 1.537



6.
PtCl2 | the Alexandria database | PBEsol | relaxed; energy = -0.296 Ry/atom
1.0
7.895 0.462 0.756
-2.033 7.643 0.756
-2.033 -2.811 7.148
Cl Pt
12 6
Cartesian
2.011 2.781 7.654
4.637 3.646 5.964
2.011 5.545 5.964
-0.808 1.648 2.696
1.818 2.514 1.005
1.818 -0.251 2.696
0.589 5.747 0.756
-2.033 -0.050 5.459
5.273 -0.402 2.444
5.273 2.359 0.756
-2.033 4.882 2.444
0.589 -1.946 5.459
-0.417 -0.577 2.263
2.293 0.317 0.518
-0.417 2.277 0.518
1.536 4.978 8.141
4.246 5.871 6.397
4.246 3.017 8.141



7.
RbPtS2Cl | the Alexandria database | PBEsol | relaxed; energy = -0.305 Ry/atom
1.0
4.689 0.000 0.000
0.000 4.689 0.000
0.000 0.000 5.189
S Rb Pt Cl
2 1 1 1
Cartesian
0.000 2.344 0.000
2.344 0.000 0.000
2.344 2.344 2.595
0.000 0.000 0.000
0.000 0.000 2.595



8.
RePtCl | the Alexandria database | PBEsol | relaxed; energy above the most stable polymorph in this dataset = 0 meV per atom; energy = -0.488 Ry/atom
1.0
2.759 0.000 0.000
0.000 4.317 0.000
0.000 -2.159 3.739
Re Pt Cl
1 1 1
Cartesian
0.467 2.159 1.246
1.843 0.000 2.493
0.449 0.000 0.000



9.
RePt2Cl | the Alexandria database | PBEsol | relaxed; energy above the most stable polymorph in this dataset = 132 meV per atom; energy = -0.523 Ry/atom
1.0
-2.769 0.686 -0.128
-1.697 -1.264 -1.919
-3.290 -6.405 5.003
Re Pt Cl
1 2 1
Cartesian
-3.878 -3.492 1.478
-1.949 -1.781 0.771
-5.807 -5.202 2.185
0.000 0.000 0.000



10.
RePt3Cl | the Alexandria database | PBEsol | relaxed; energy = -0.411 Ry/atom
1.0
-3.059 2.442 -2.045
-3.178 -2.151 2.185
0.212 2.985 3.247
Re Pt Cl
1 3 1
Cartesian
-3.012 1.638 1.694
-1.589 -1.075 1.093
0.106 1.493 1.624
-1.529 1.221 -1.022
0.000 0.000 0.000



| no. | magnetic moment (μB per cell) | formation energy from raw total energies (eV per formula unit) |
| --- | --- | --- |
| 1 | 0.0 | -0.86 |
| 2 | 0.0 | 2.35 |
| 3 | 0.0 | 1.82 |
| 4 | 0.0 | 2.42 |
| 5 | 0.0 | -0.84 |
| 6 | 0.0 | -1.10 |
| 7 | 1.1 | -1.96 |
| 8 | 0.0 | 2.37 |
| 9 | 0.0 | 0.81 |
| 10 | 3.0 | 8.28 |